[1]
This record from Alexandria via LeMat-Bulk describes CaLa2Y at its PBEsol-relaxed geometry. The functional is SCAN.

- E_form (eV per atom) = 0.08

Lattice parameters (Å, degrees): 3.613 5.209 7.317 90.00 90.01 90.00
Fractional positions:
Ca 0.500 0.500 0.746
La 0.500 0.500 0.246
La 0.000 0.000 0.020
Y 0.000 0.000 0.488


[2]
This record from Alexandria via LeMat-Bulk describes CaLa2Y at its PBEsol-relaxed geometry. The functional is SCAN.

- E_form (eV per atom) = 0.06

Lattice parameters (Å, degrees): 3.613 3.613 10.644 90.00 90.00 90.00
Fractional positions:
La 0.000 0.000 0.766
Ca 0.500 0.500 0.500
La 0.000 0.000 0.234
Y 0.500 0.500 0.000


[3]
This record from Alexandria via LeMat-Bulk describes CaLa2Y at its PBEsol-relaxed geometry. The functional is SCAN.

- E_form (eV per atom) = 0.10

Lattice parameters (Å, degrees): 5.265 5.265 6.219 115.04 115.04 90.00
Fractional positions:
Ca 0.000 0.000 0.000
Y 0.500 0.500 0.000
La 0.250 0.750 0.500
La 0.750 0.250 0.500